[1]
Mn2VRh5, optimized geometry, DFT PBE; symmetry = I4/mmm (139); ΔH_f (0 K) = -0.212 eV/atom; size of the total moment = 6.402 μB per cell
1.0
-1.936 1.936 7.383
1.936 -1.936 7.383
1.936 1.936 -7.383
Mn V Rh
2 1 5
Direct
0.249 0.249 0.000
0.751 0.751 0.000
0.500 0.500 0.000
0.000 0.000 0.000
0.126 0.626 0.500
0.374 0.874 0.500
0.626 0.126 0.500
0.874 0.374 0.500

---

[2]
MnIn3Bi, optimized geometry, DFT PBE; symmetry = Pm-3m (221); ΔH_f (0 K) = 0.328 eV/atom; E above lowest polymorph = 0 kJ/mol of formula units; size of the total moment = 3.169 μB per cell
1.0
5.172 0.000 0.000
0.000 5.172 0.000
0.000 0.000 5.172
Mn In Bi
1 3 1
Direct
0.000 0.000 0.000
0.000 0.000 0.500
0.000 0.500 0.000
0.500 0.000 0.000
0.500 0.500 0.500

---

Question: Among the records above, which one has the highest size of the total moment?
Answer: Mn2VRh5

---

Question: Which value of ΔH_f (0 K) does entry 2 give?
Answer: 0.328 eV/atom

---

Question: Which of these has the highest size of the total moment?
Answer: Mn2VRh5

---

Question: Which of these has the highest ΔH_f (0 K)?
Answer: MnIn3Bi